This record from Alexandria describes a relaxed structure of UCoGeO6. The functional is PBE with a Hubbard U.

The structure in POSCAR format:
```
UCoGeO6
1.0
5.255 0.000 0.000
-2.628 4.551 0.000
0.000 0.000 8.978
U Co Ge O
2 2 2 12
Cartesian
0.000 3.034 2.244
2.628 1.517 6.733
0.000 0.000 0.000
0.000 0.000 4.489
0.000 3.034 6.733
2.628 1.517 2.244
-0.811 1.628 5.680
-1.623 3.035 7.787
0.811 1.628 7.787
-0.812 4.439 5.680
1.815 0.112 1.191
1.005 1.516 3.298
1.623 3.035 5.680
0.812 4.439 7.787
3.440 0.112 3.298
1.817 2.923 1.191
4.251 1.516 1.191
3.439 2.923 3.298
```

Values from the calculation:
Raw total energy in eV/atom: -7.64
Space-group type: P-31c (163)